DFT (PBE-GGA) results for Er3AuN6 after structural relaxation.

abc: 3.7047 5.6571 6.4958
angles: 99.92 99.11 98.26
Site moments in Bohr magnetons follow the coordinates.
Fractional positions:
N: 0.9556 0.7495 0.5528  0.08
N: 0.7551 0.7384 0.7031  0.07
N: 0.2450 0.2616 0.2967  0.07
N: 0.3006 0.7281 0.1455  0.01
N: 0.6993 0.2719 0.8545  0.01
N: 0.0443 0.2506 0.4474  0.08
Er: 0.2183 0.5007 0.7895  0.03
Er: 0.4999 0.0000 0.4999  0.03
Er: 0.7819 0.4992 0.2107  0.03
Au: 0.0000 0.0000 0.0000  0.00

Theoretical density = 9972 kg/m3
Raw total energy = -7.28 eV per atom
Space-group type = P-1, No. 2

=====

DFT (PBE-GGA) results for Hf4AlFeN2 after structural relaxation.

abc: 3.1683 3.1683 13.7344
angles: 90.00 90.00 120.00
Site moments in Bohr magnetons follow the coordinates.
Fractional positions:
Hf: 0.3333 0.6667 0.1412  -0.11
Hf: 0.6667 0.3333 0.3333  -0.01
Hf: 0.3333 0.6667 0.8588  -0.11
Hf: 0.6667 0.3333 0.6667  -0.01
N: 0.0000 0.0000 0.7606  -0.01
N: 0.0000 0.0000 0.2394  -0.01
Al: 0.3333 0.6667 0.5000  0.00
Fe: 0.6667 0.3333 0.0000  1.12

Theoretical density = 11471 kg/m3
Raw total energy = -9.51 eV per atom
Space-group type = P-6m2, No. 187

=====

DFT (PBE-GGA) results for BaMg2AgGe after structural relaxation.

abc: 6.8976 6.8976 6.8976
angles: 140.82 140.82 56.61
Fractional positions:
Mg: 0.7547 0.2547 0.5000
Mg: 0.2547 0.7547 0.5000
Ge: 0.3848 0.3848 0.0000
Ba: 0.9934 0.9934 0.0000
Ag: 0.6124 0.6124 0.0000

Theoretical density = 4683 kg/m3
Raw total energy = -2.87 eV per atom
Space-group type = I4mm, No. 107

=====

DFT (PBE-GGA) results for NbCdFeSb after structural relaxation.

abc: 4.6733 4.6733 4.6733
angles: 60.00 60.00 60.00
Fractional positions:
Fe: 0.7500 0.7500 0.7500
Cd: 0.5000 0.5000 0.5000
Sb: 0.0000 0.0000 0.0000
Nb: 0.2500 0.2500 0.2500

Distance to the lowest polymorph of the same formula = 0.0000 eV/atom
Theoretical density = 8811 kg/m3
Raw total energy = -5.46 eV per atom
Space-group type = F-43m, No. 216

=====

DFT (PBE-GGA) results for LiPrS4 after structural relaxation.

abc: 7.7124 7.7124 7.7124
angles: 33.61 33.61 33.61
Fractional positions:
Pr: 0.0000 0.0000 0.0000
S: 0.1499 0.1499 0.1499
S: 0.3909 0.3909 0.3909
S: 0.8501 0.8501 0.8501
S: 0.6091 0.6091 0.6091
Li: 0.5000 0.5000 0.5000

Theoretical density = 3661 kg/m3
Raw total energy = -4.60 eV per atom
Space-group type = R-3m, No. 166

=====

DFT (PBE-GGA) results for Li4MgZnGa2 after structural relaxation.

abc: 4.4007 4.4007 6.3880
angles: 90.00 90.00 90.00
Fractional positions:
Ga: 0.0000 0.5000 0.7348
Ga: 0.5000 0.0000 0.2652
Li: 0.5000 0.5000 0.0000
Li: 0.0000 0.0000 0.5000
Li: 0.5000 0.0000 0.7255
Li: 0.0000 0.5000 0.2745
Zn: 0.5000 0.5000 0.5000
Mg: 0.0000 0.0000 0.0000

Theoretical density = 3449 kg/m3
Raw total energy = -2.33 eV per atom
Space-group type = P-4m2, No. 115

=====

DFT (PBE-GGA) results for Mg2AgSn after structural relaxation.

abc: 4.9453 4.9453 4.9453
angles: 60.00 60.00 60.00
Fractional positions:
Sn: 0.5000 0.5000 0.5000
Mg: 0.0000 0.0000 0.0000
Mg: 0.7500 0.7500 0.7500
Ag: 0.2500 0.2500 0.2500

Theoretical density = 5344 kg/m3
Raw total energy = -2.52 eV per atom
Space-group type = F-43m, No. 216

=====

DFT (PBE-GGA) results for Lu4CdC3 after structural relaxation.

abc: 3.4960 3.4960 27.5556
angles: 90.00 90.00 120.00
Fractional positions:
Lu: 0.3333 0.6667 0.4488
Lu: 0.6667 0.3333 0.5512
Lu: 0.0000 0.0000 0.6490
Lu: 0.0000 0.0000 0.1490
Lu: 0.0000 0.0000 0.8510
Lu: 0.3333 0.6667 0.0512
Lu: 0.6667 0.3333 0.9488
Lu: 0.0000 0.0000 0.3510
C: 0.3333 0.6667 0.6089
C: 0.6667 0.3333 0.3911
C: 0.6667 0.3333 0.1089
C: 0.3333 0.6667 0.8911
C: 0.0000 0.0000 0.5000
C: 0.0000 0.0000 0.0000
Cd: 0.3333 0.6667 0.2500
Cd: 0.6667 0.3333 0.7500

Theoretical density = 9659 kg/m3
Raw total energy = -6.13 eV per atom
Space-group type = P6_3/mmc, No. 194

=====

DFT (PBE-GGA) results for PrAlO3 after structural relaxation.

abc: 5.3080 5.3080 5.8722
angles: 63.13 63.13 60.00
Fractional positions:
O: 0.5626 0.1748 0.2800
O: 0.0174 0.4374 0.7200
O: 0.8252 0.0174 0.7200
O: 0.1748 0.9826 0.2800
O: 0.9826 0.5626 0.2800
O: 0.4374 0.8252 0.7200
Pr: 0.6252 0.6252 0.1243
Pr: 0.3748 0.3748 0.8757
Al: 0.1583 0.1583 0.5250
Al: 0.8417 0.8417 0.4750

Theoretical density = 5866 kg/m3
Raw total energy = -7.66 eV per atom
Space-group type = R-3, No. 148

=====

DFT (PBE-GGA) results for GdPtSO after structural relaxation.

abc: 6.4309 12.0200 7.5007
angles: 90.00 90.00 90.00
Fractional positions:
S: 0.9967 0.5063 0.7888
S: 0.9966 0.9937 0.2889
S: 0.5033 0.4937 0.2888
S: 0.5034 0.0063 0.7889
S: 0.4966 0.9937 0.2111
S: 0.0034 0.0063 0.7111
S: 0.4967 0.5063 0.7112
S: 0.0033 0.4937 0.2112
Gd: 0.0887 0.2895 0.6238
Gd: 0.9113 0.7895 0.8762
Gd: 0.5887 0.2895 0.8762
Gd: 0.0887 0.2105 0.1238
Gd: 0.5887 0.2105 0.3762
Gd: 0.4113 0.7105 0.1238
Gd: 0.4113 0.7895 0.6238
Gd: 0.9113 0.7105 0.3762
O: 0.7536 0.2544 0.6255
O: 0.2536 0.2456 0.3746
O: 0.2536 0.2544 0.8745
O: 0.2464 0.7456 0.3745
O: 0.2464 0.7544 0.8746
O: 0.7536 0.2456 0.1254
O: 0.7464 0.7544 0.6254
O: 0.7464 0.7456 0.1255
Pt: 0.2120 0.5104 0.4999
Pt: 0.7881 0.0104 0.0001
Pt: 0.2880 0.4896 0.0000
Pt: 0.2881 0.0104 0.4999
Pt: 0.7119 0.9896 0.5001
Pt: 0.2119 0.9896 0.9999
Pt: 0.7120 0.5104 0.0000
Pt: 0.7880 0.4896 0.5001

Distance to the lowest polymorph of the same formula = 0.0036 eV/atom
Theoretical density = 9174 kg/m3
Raw total energy = -6.63 eV per atom
Space-group type = Pbca, No. 61

=====

DFT (PBE-GGA) results for SmZrTl after structural relaxation.

abc: 5.1030 5.1030 5.1030
angles: 60.00 60.00 60.00
Fractional positions:
Sm: 0.0000 0.0000 0.0000
Zr: 0.7500 0.7500 0.7500
Tl: 0.2500 0.2500 0.2500

Distance to the lowest polymorph of the same formula = 0.5008 eV/atom
Theoretical density = 7881 kg/m3
Raw total energy = -4.45 eV per atom
Space-group type = F-43m, No. 216

=====

DFT (PBE-GGA) results for RbNd2CuTeS3 after structural relaxation.

abc: 7.5519 7.5519 14.4326
angles: 90.00 90.00 147.80
Fractional positions:
Cu: 0.1630 0.8370 0.7500
Cu: 0.8370 0.1630 0.2500
S: 0.7488 0.2512 0.3901
S: 0.7488 0.2512 0.1099
S: 0.0000 0.0000 0.5000
S: 0.0000 0.0000 0.0000
S: 0.2512 0.7488 0.8901
S: 0.2512 0.7488 0.6099
Nd: 0.3668 0.6332 0.4492
Nd: 0.6332 0.3668 0.9492
Nd: 0.6332 0.3668 0.5508
Nd: 0.3668 0.6332 0.0508
Rb: 0.1353 0.8647 0.2500
Rb: 0.8647 0.1353 0.7500
Te: 0.5549 0.4451 0.7500
Te: 0.4451 0.5549 0.2500

Theoretical density = 5007 kg/m3
Raw total energy = -5.21 eV per atom
Space-group type = Cmcm, No. 63

=====

DFT (PBE-GGA) results for BeSnTeW after structural relaxation.

abc: 4.7656 4.7656 4.7656
angles: 60.00 60.00 60.00
Fractional positions:
W: 0.0000 0.0000 0.0000
Sn: 0.5000 0.5000 0.5000
Be: 0.7500 0.7500 0.7500
Te: 0.2500 0.2500 0.2500

Distance to the lowest polymorph of the same formula = 0.2133 eV/atom
Theoretical density = 9529 kg/m3
Raw total energy = -4.84 eV per atom
Space-group type = F-43m, No. 216

=====

DFT (PBE-GGA) results for Y2ZnB after structural relaxation.

abc: 3.9310 3.9310 13.8194
angles: 90.00 90.00 120.00
Fractional positions:
Y: 0.3333 0.6667 0.4063
Y: 0.6667 0.3333 0.9063
Y: 0.3333 0.6667 0.0937
Y: 0.6667 0.3333 0.5937
Zn: 0.3333 0.6667 0.7500
Zn: 0.6667 0.3333 0.2500
B: 0.0000 0.0000 0.0000
B: 0.0000 0.0000 0.5000

Distance to the lowest polymorph of the same formula = 0.0000 eV/atom
Theoretical density = 4562 kg/m3
Raw total energy = -5.23 eV per atom
Space-group type = P6_3/mmc, No. 194

=====

DFT (PBE-GGA) results for ErTlRe after structural relaxation.

abc: 4.7001 4.7001 4.7001
angles: 60.00 60.00 60.00
Fractional positions:
Re: 0.7500 0.7500 0.7500
Er: 0.2500 0.2500 0.2500
Tl: 0.0000 0.0000 0.0000

Distance to the lowest polymorph of the same formula = 0.1045 eV/atom
Theoretical density = 12617 kg/m3
Raw total energy = -5.51 eV per atom
Space-group type = F-43m, No. 216

=====

DFT (PBE-GGA) results for Ho5Ag4Au after structural relaxation.

abc: 3.5983 3.5983 18.0472
angles: 90.00 90.00 90.00
Fractional positions:
Ho: 0.5000 0.5000 0.7012
Ho: 0.5000 0.5000 0.9029
Ho: 0.5000 0.5000 0.0971
Ho: 0.5000 0.5000 0.5000
Ho: 0.5000 0.5000 0.2988
Ag: 0.0000 0.0000 0.1995
Ag: 0.0000 0.0000 0.6004
Ag: 0.0000 0.0000 0.3996
Ag: 0.0000 0.0000 0.8005
Au: 0.0000 0.0000 0.0000

Theoretical density = 10326 kg/m3
Raw total energy = -4.20 eV per atom
Space-group type = P4/mmm, No. 123

=====

DFT (PBE-GGA) results for KTbGeS3 after structural relaxation.

abc: 7.9215 7.9215 11.1828
angles: 90.00 90.00 151.20
Fractional positions:
Ge: 0.1062 0.8938 0.7500
Ge: 0.8938 0.1062 0.2500
S: 0.5020 0.4980 0.7500
S: 0.8787 0.1213 0.0159
S: 0.4980 0.5020 0.2500
S: 0.1213 0.8787 0.5159
S: 0.1213 0.8787 0.9841
S: 0.8787 0.1213 0.4841
Tb: 0.5000 0.5000 0.5000
Tb: 0.5000 0.5000 0.0000
K: 0.1929 0.8071 0.2500
K: 0.8071 0.1929 0.7500

Theoretical density = 3604 kg/m3
Raw total energy = -4.97 eV per atom
Space-group type = Cmcm, No. 63

=====

DFT (PBE-GGA) results for Hf2Ga3Mo4C3 after structural relaxation.

abc: 5.4381 5.4381 13.6720
angles: 101.76 101.76 60.18
Fractional positions:
Ga: 0.5856 0.8214 0.7498
Ga: 0.0054 0.9946 0.2500
Ga: 0.8214 0.5856 0.2498
Ga: 0.4144 0.1786 0.2502
Ga: 0.9946 0.0054 0.7500
Ga: 0.1786 0.4144 0.7502
Mo: 0.6956 0.8599 0.0814
Mo: 0.0277 0.1946 0.0813
Mo: 0.1401 0.3044 0.4186
Mo: 0.9723 0.8054 0.9187
Mo: 0.3044 0.1401 0.9186
Mo: 0.1946 0.0277 0.5813
Mo: 0.8054 0.9723 0.4187
Mo: 0.8599 0.6956 0.5814
Hf: 0.3689 0.5351 0.1039
Hf: 0.6311 0.4649 0.8961
Hf: 0.4649 0.6311 0.3961
Hf: 0.5351 0.3689 0.6039
C: 0.1736 0.6628 0.5000
C: 0.6628 0.1736 0.0000
C: 0.8264 0.3372 0.5000
C: 0.0000 0.5000 0.0000
C: 0.5000 0.0000 0.5000
C: 0.3372 0.8264 0.0000

Theoretical density = 9605 kg/m3
Raw total energy = -8.73 eV per atom
Space-group type = C2/c, No. 15

=====

DFT (PBE-GGA) results for SrHfMgPd after structural relaxation.

abc: 5.1041 5.1041 5.1041
angles: 60.00 60.00 60.00
Fractional positions:
Mg: 0.7500 0.7500 0.7500
Pd: 0.2500 0.2500 0.2500
Hf: 0.5000 0.5000 0.5000
Sr: 0.0000 0.0000 0.0000

Distance to the lowest polymorph of the same formula = 0.0000 eV/atom
Theoretical density = 7009 kg/m3
Raw total energy = -4.52 eV per atom
Space-group type = F-43m, No. 216

=====

DFT (PBE-GGA) results for HfFePbAu after structural relaxation.

abc: 4.7155 4.7155 4.7155
angles: 60.00 60.00 60.00
Fractional positions:
Au: 0.2500 0.2500 0.2500
Pb: 0.0000 0.0000 0.0000
Fe: 0.7500 0.7500 0.7500
Hf: 0.5000 0.5000 0.5000

Distance to the lowest polymorph of the same formula = 0.0000 eV/atom
Theoretical density = 14301 kg/m3
Raw total energy = -6.17 eV per atom
Space-group type = F-43m, No. 216

=====

DFT (PBE-GGA) results for Nd2HoMg3Cd2Ag after structural relaxation.

abc: 4.3018 7.8759 7.8759
angles: 119.80 90.00 90.00
Fractional positions:
Mg: 0.5000 0.7586 0.7586
Mg: 0.5000 0.2415 0.0023
Mg: 0.5000 0.0023 0.2415
Cd: 0.5000 0.3355 0.6598
Cd: 0.5000 0.6598 0.3355
Nd: 0.0000 0.5922 0.9997
Nd: 0.0000 0.9997 0.5922
Ho: 0.0000 0.4052 0.4052
Ag: 0.0000 0.0052 0.0052

Theoretical density = 6160 kg/m3
Raw total energy = -2.85 eV per atom
Space-group type = Amm2, No. 38

=====

DFT (PBE-GGA) results for HfCdFeSi after structural relaxation.

abc: 4.4636 4.4636 4.4636
angles: 60.00 60.00 60.00
Fractional positions:
Si: 0.0000 0.0000 0.0000
Fe: 0.7500 0.7500 0.7500
Hf: 0.5000 0.5000 0.5000
Cd: 0.2500 0.2500 0.2500

Distance to the lowest polymorph of the same formula = 0.0345 eV/atom
Theoretical density = 9898 kg/m3
Raw total energy = -5.96 eV per atom
Space-group type = F-43m, No. 216

=====

DFT (PBE-GGA) results for BaErTeAuSe2 after structural relaxation.

abc: 7.7856 7.7856 11.0277
angles: 90.00 90.00 148.54
Fractional positions:
Au: 0.0311 0.9689 0.7500
Au: 0.9689 0.0311 0.2500
Te: 0.4089 0.5911 0.7500
Te: 0.5911 0.4089 0.2500
Er: 0.5000 0.5000 0.5000
Er: 0.5000 0.5000 0.0000
Ba: 0.2752 0.7248 0.2500
Ba: 0.7248 0.2752 0.7500
Se: 0.8714 0.1286 0.0517
Se: 0.1286 0.8714 0.9483
Se: 0.1286 0.8714 0.5517
Se: 0.8714 0.1286 0.4483

Theoretical density = 7493 kg/m3
Raw total energy = -4.69 eV per atom
Space-group type = Cmcm, No. 63